# Pm2TlGeO6

An optimized crystal structure of Pm2TlGeO6 (GGA-PBE, the Alexandria database).

Theoretical density, g cm⁻³: 7.0
Spin magnetization, μB per formula unit: 0.00
Space group: No. 99
E_form (uncorrected), eV/atom: -2.13
DOS at the Fermi energy, states/eV per cell: 2.31

Cell and atoms, written as POSCAR:
```
Pm2TlGeO6
1.0
5.306 0.000 0.000
0.000 5.443 0.000
0.000 0.000 5.443
Pm Tl Ge O
2 1 1 6
Cartesian
5.246 2.722 0.000 Pm
5.246 0.000 2.722 Pm
2.778 2.722 2.722 Tl
3.231 0.000 0.000 Ge
3.935 1.239 1.239 O
3.935 1.239 4.204 O
0.524 2.722 2.722 O
1.437 0.000 0.000 O
3.935 4.204 4.204 O
3.935 4.204 1.239 O
```